<one>
Material: BaLi2Bi2
Method: DFT, GGA-PBEsol
State: optimized geometry

a b c (Å): 3.3420 8.9195 8.9195
angles (deg): 90.00 90.00 90.00
Sites, in units of the cell vectors:
Bi: 0.5000 0.1748 0.6748
Bi: 0.5000 0.8252 0.3252
Bi: 0.5000 0.6748 0.8252
Bi: 0.5000 0.3252 0.1748
Li: 0.0000 0.8857 0.6143
Li: 0.0000 0.1143 0.3857
Li: 0.0000 0.6143 0.1143
Li: 0.0000 0.3857 0.8857
Ba: 0.0000 0.0000 0.0000
Ba: 0.0000 0.5000 0.5000


<two>
Material: BaLi2Bi2
Method: DFT, GGA-PBEsol
State: optimized geometry

a b c (Å): 4.8541 4.8541 6.9126
angles (deg): 110.55 110.55 90.00
Sites, in units of the cell vectors:
Bi: 0.3726 0.3726 0.7453
Bi: 0.6274 0.6274 0.2547
Ba: 0.0000 0.0000 0.0000
Li: 0.7500 0.2500 0.5000
Li: 0.2500 0.7500 0.5000


<three>
Material: BaLi2Bi2
Method: DFT, GGA-PBEsol
State: optimized geometry

a b c (Å): 3.3330 9.1849 9.1849
angles (deg): 90.00 90.00 90.00
Sites, in units of the cell vectors:
Bi: 0.0000 0.6589 0.1589
Bi: 0.0000 0.3411 0.8411
Bi: 0.0000 0.1589 0.3411
Bi: 0.0000 0.8411 0.6589
Ba: 0.0000 0.5000 0.5000
Ba: 0.0000 0.0000 0.0000
Li: 0.5000 0.1283 0.6283
Li: 0.5000 0.6283 0.8717
Li: 0.5000 0.8717 0.3717
Li: 0.5000 0.3717 0.1283


Which one is most stable, and which one is least stable? <two> is the most stable of them, while <three> is the least stable.


<one>
Material: BaMg2Bi2
Method: DFT, GGA-PBEsol
State: optimized geometry

a b c (Å): 4.6323 4.6323 8.1017
angles (deg): 106.61 106.61 90.00
Sites, in units of the cell vectors:
Mg: 0.2500 0.7500 0.5000
Mg: 0.7500 0.2500 0.5000
Ba: 0.0000 0.0000 0.0000
Bi: 0.3756 0.3756 0.7512
Bi: 0.6244 0.6244 0.2488


<two>
Material: BaMg2Bi2
Method: DFT, GGA-PBEsol
State: optimized geometry

a b c (Å): 4.8708 4.8708 8.2056
angles (deg): 90.00 90.00 120.00
Sites, in units of the cell vectors:
Ba: 0.0000 0.0000 0.0000
Bi: 0.6667 0.3333 0.7386
Bi: 0.3333 0.6667 0.2614
Mg: 0.3333 0.6667 0.6233
Mg: 0.6667 0.3333 0.3767


Which one is most stable, and which one is least stable? <two> is the most stable of them, while <one> is the least stable.